Compound: Mn2PAu
Source: Alexandria via LeMat-Bulk
Functional: PBE
Structure: optimized geometry

Lattice parameters (Å, degrees): 2.8569 2.8569 24.9330 90.00 90.00 120.00
Space group R3m (No. 160, hexagonal axes)
Unique sites:
Mn  0.0000  0.0000  0.0000 x3
Mn  0.0000  0.0000  0.2548 x3
P  0.0000  0.0000  0.7284 x3
Au  0.0000  0.0000  0.4987 x3

Results
D(E_F) in states/eV/f.u.: 1.5
Final energy in eV per atom: -6.637
DFT formation energy in kcal/mol of atoms: 2.75